# GGA+U KMnPb2F8, relaxed
data_KMnPb2F8
_symmetry_space_group_name_H-M 'P -1'
_symmetry_Int_Tables_number 2
_cell_length_a 4.511
_cell_length_b 5.807
_cell_length_c 7.935
_cell_angle_alpha 91.75
_cell_angle_beta 94.58
_cell_angle_gamma 94.42
loop_
_symmetry_equiv_pos_as_xyz
'x,y,z'
'-x,-y,-z'
loop_
_atom_site_label
_atom_site_type_symbol
_atom_site_fract_x
_atom_site_fract_y
_atom_site_fract_z
_atom_site_occupancy
K1 K 0.000 0.000 0.000 1
Mn1 Mn 0.000 0.000 0.500 1
Pb1 Pb 0.456 0.480 0.748 1
F1 F 0.059 0.712 0.292 1
F2 F 0.141 0.842 0.689 1
F3 F 0.355 0.195 0.496 1
F4 F 0.496 0.267 0.993 1
# Total energy, eV/cell: -60.67
# DOS(E_F), states/eV per cell: 0.00
# Size of the total moment, Bohr magnetons per cell: 3.96